Compound: Ac2PtS
Source: Alexandria via LeMat-Bulk
Functional: PBE-GGA
Structure: relaxed Values from VASP.

Structure (Quantum ESPRESSO input):
```
&SYSTEM
  ibrav = 0, nat = 4, ntyp = 3
/
ATOMIC_SPECIES
Ac 227.00 Ac.upf
Pt 195.08 Pt.upf
S 32.06 S.upf
CELL_PARAMETERS angstrom
-4.046 -0.281 1.393
-0.797 -1.145 4.055
-1.391 6.985 3.966
ATOMIC_POSITIONS crystal
Ac 0.077 0.077 0.768
Ac 0.257 0.257 0.229
Pt 0.668 0.668 0.997
S 0.498 0.498 0.507
```

Output
formation energy (no corrections)	-1477	meV/atom
calculated total energy	-6.073	eV per atom